## one
Entry from Alexandria via LeMat-Bulk: crystalline TaNb2Mo at its relaxed geometry (PBE).

```
TaNb2Mo
1.0
0.000 3.272 3.272
3.272 0.000 3.272
3.272 3.272 0.000
Ta Nb Mo
1 2 1
Direct
0.000 0.000 0.000 Ta
0.250 0.250 0.250 Nb
0.750 0.750 0.750 Nb
0.500 0.500 0.500 Mo
```

Computed properties:
- Symmetry: Fm-3m (225)

***

## two
Entry from Alexandria via LeMat-Bulk: crystalline TaNb2Mo at its relaxed geometry (PBE).

```
TaNb2Mo
1.0
1.544 0.891 8.774
-1.544 0.891 8.774
0.000 -1.783 8.774
Ta Nb Mo
1 2 1
Direct
0.000 0.000 0.000 Ta
0.246 0.246 0.246 Nb
0.754 0.754 0.754 Nb
0.500 0.500 0.500 Mo
```

Computed properties:
- Symmetry: R-3m (166)

***

Stability, lowest: two

***

## one
Entry from Alexandria via LeMat-Bulk: crystalline TaNbMo at its relaxed geometry (PBE).

```
TaNbMo
1.0
0.000 2.373 6.779
1.618 0.000 6.779
1.618 2.373 0.000
Ta Nb Mo
1 1 1
Direct
0.000 0.000 0.000 Ta
0.675 0.675 0.325 Nb
0.338 0.338 0.662 Mo
```

Computed properties:
- Symmetry: Fmm2 (42)

***

## two
Entry from Alexandria via LeMat-Bulk: crystalline TaNbMo at its relaxed geometry (PBE).

```
TaNbMo
1.0
-1.619 1.619 4.953
1.619 -1.619 4.953
1.619 1.619 -4.953
Ta Nb Mo
1 1 1
Direct
0.000 0.000 0.000 Ta
0.679 0.679 0.000 Nb
0.340 0.340 0.000 Mo
```

Computed properties:
- Symmetry: I4mm (107)

***

Stability, lowest: one

***

## one
Entry from Alexandria via LeMat-Bulk: crystalline TaNbMo at its relaxed geometry (PBE).

```
TaNbMo
1.0
4.554 0.000 0.000
-2.277 3.944 0.000
0.000 0.000 2.901
Ta Nb Mo
1 1 1
Direct
0.000 0.000 0.000 Ta
0.667 0.333 0.633 Nb
0.333 0.667 0.323 Mo
```

Computed properties:
- Symmetry: P3m1 (156)

***

## two
Entry from Alexandria via LeMat-Bulk: crystalline TaNbMo at its relaxed geometry (PBE).

```
TaNbMo
1.0
4.823 -2.636 0.000
4.823 2.636 0.000
-2.349 0.000 4.196
Ta Nb Mo
2 2 2
Direct
0.170 0.170 0.169 Ta
0.830 0.830 0.831 Ta
0.249 0.751 0.500 Nb
0.751 0.249 0.500 Nb
0.336 0.336 0.834 Mo
0.664 0.664 0.166 Mo
```

Computed properties:
- Symmetry: C2/m (12)

***

Stability, lowest: two